A relaxed TlIrW2 crystal. Source: Alexandria, functional PBE.

Lattice parameters (Å, degrees): 9.6725 9.6725 9.6725 17.17 17.17 17.17
Element x y z (fractional)
Tl: 0.7500 0.7500 0.7500
Ir: 0.2500 0.2500 0.2500
W: 0.9937 0.9937 0.9937
W: 0.5063 0.5063 0.5063

Output
Energy of formation from the pure elements   0.55 eV/atom
Relative energy among the computed polymorphs   133 meV per atom
Density   18.43 g/cm³
E   -8.73 eV/atom